Below is an optimized crystal structure of Li2Sn2Bi, with properties calculated at the GGA-PBE level.

Summary:
V: 23.91 A^3/atom
E_form: -0.209 eV per atom
raw total energy: -33.520 eV for the cell shown
ΔE to the lowest computed polymorph: 45.4 meV per atom
density of states at the Fermi level: 2.6 states/eV/f.u.
total magnetic moment: 0.0 μB/cell

The structure in CIF format:
```
data_Li2Sn2Bi
_cell_length_a 8.489
_cell_length_b 8.489
_cell_length_c 3.318
_cell_angle_alpha 90.00
_cell_angle_beta 90.00
_cell_angle_gamma 90.00
_space_group_name_H-M_alt 'P 4/m b m'
_space_group_IT_number 127
_space_group_name_Hall '-P 4 2ab'
loop_
_atom_site_label
_atom_site_type_symbol
_atom_site_fract_x
_atom_site_fract_y
_atom_site_fract_z
Li1 Li 0.174 0.326 0.000
Sn1 Sn 0.125 0.625 0.500
Bi1 Bi 0.000 0.000 0.500
```



Below is an optimized crystal structure of Li8SnBi6, with properties calculated at the GGA-PBE level.

Summary:
V: 23.86 A^3/atom
E_form: -0.247 eV per atom
raw total energy: -138.928 eV for the cell shown
density of states at the Fermi level: 6.6 states/eV/f.u.
total magnetic moment: 0.0 μB/cell

The structure in CIF format:
```
data_Li8SnBi6
_cell_length_a 8.5642
_cell_length_b 8.5642
_cell_length_c 16.9017
_cell_angle_alpha 90.00
_cell_angle_beta 90.00
_cell_angle_gamma 120.00
_space_group_name_H-M_alt 'R -3'
_space_group_IT_number 148
_space_group_name_Hall '-R 3'
loop_
_atom_site_label
_atom_site_type_symbol
_atom_site_fract_x
_atom_site_fract_y
_atom_site_fract_z
Li1 Li 0.0000 0.0000 0.2124
Li2 Li 0.0409 0.2868 0.4013
Sn1 Sn 0.0000 0.0000 0.5000
Bi1 Bi 0.0199 0.2679 0.9114
```



Below is an optimized crystal structure of LiSn2Bi, with properties calculated at the GGA-PBE level.

Summary:
V: 27.12 A^3/atom
E_form: -0.083 eV per atom
raw total energy: -14.131 eV for the cell shown
density of states at the Fermi level: 2.3 states/eV/f.u.
total magnetic moment: 0.0 μB/cell

The structure in CIF format:
```
data_LiSn2Bi
_cell_length_a 3.424
_cell_length_b 5.861
_cell_length_c 5.411
_cell_angle_alpha 90.00
_cell_angle_beta 92.39
_cell_angle_gamma 90.00
_space_group_name_H-M_alt 'P 1 2/m 1'
_space_group_IT_number 10
_space_group_name_Hall '-P 2y'
loop_
_atom_site_label
_atom_site_type_symbol
_atom_site_fract_x
_atom_site_fract_y
_atom_site_fract_z
Li1 Li 0.000 0.000 0.000
Sn1 Sn 0.277 0.500 0.242
Bi1 Bi 0.500 0.000 0.500
```



Below is an optimized crystal structure of Li5Sn4Bi, with properties calculated at the GGA-PBE level.

Summary:
V: 21.11 A^3/atom
E_form: -0.322 eV per atom
raw total energy: -32.680 eV for the cell shown
density of states at the Fermi level: 3.4 states/eV/f.u.
total magnetic moment: 0.0 μB/cell

The structure in CIF format:
```
data_Li5Sn4Bi
_cell_length_a 3.474
_cell_length_b 3.474
_cell_length_c 17.488
_cell_angle_alpha 90.00
_cell_angle_beta 90.00
_cell_angle_gamma 90.00
_space_group_name_H-M_alt 'P 4/m m m'
_space_group_IT_number 123
_space_group_name_Hall '-P 4 2'
loop_
_atom_site_label
_atom_site_type_symbol
_atom_site_fract_x
_atom_site_fract_y
_atom_site_fract_z
Li1 Li 0.000 0.000 0.000
Li2 Li 0.000 0.000 0.192
Li3 Li 0.000 0.000 0.386
Sn1 Sn 0.500 0.500 0.096
Sn2 Sn 0.500 0.500 0.288
Bi1 Bi 0.500 0.500 0.500
```



Below is an optimized crystal structure of Li2Sn3Bi2, with properties calculated at the GGA-PBE level.

Summary:
V: 25.93 A^3/atom
E_form: -0.131 eV per atom
raw total energy: -49.036 eV for the cell shown
density of states at the Fermi level: 3.0 states/eV/f.u.
total magnetic moment: 0.0 μB/cell

The structure in CIF format:
```
data_Li2Sn3Bi2
_cell_length_a 9.551
_cell_length_b 4.847
_cell_length_c 8.193
_cell_angle_alpha 90.00
_cell_angle_beta 106.81
_cell_angle_gamma 90.00
_space_group_name_H-M_alt 'C 1 2/m 1'
_space_group_IT_number 12
_space_group_name_Hall '-C 2y'
loop_
_atom_site_label
_atom_site_type_symbol
_atom_site_fract_x
_atom_site_fract_y
_atom_site_fract_z
Li1 Li 0.211 0.000 0.149
Sn1 Sn 0.000 0.500 0.000
Sn2 Sn 0.142 0.500 0.416
Bi1 Bi 0.083 0.000 0.759
```



Below is an optimized crystal structure of Li4SnBi2, with properties calculated at the GGA-PBE level.

Summary:
V: 26.98 A^3/atom
E_form: -0.022 eV per atom
raw total energy: -39.155 eV for the cell shown
ΔE to the lowest computed polymorph: 348.0 meV per atom
density of states at the Fermi level: 3.1 states/eV/f.u.
total magnetic moment: 0.0 μB/cell

The structure in CIF format:
```
data_Li4SnBi2
_cell_length_a 5.096
_cell_length_b 5.096
_cell_length_c 14.545
_cell_angle_alpha 90.00
_cell_angle_beta 90.00
_cell_angle_gamma 90.00
_space_group_name_H-M_alt 'I 4/m m m'
_space_group_IT_number 139
_space_group_name_Hall '-I 4 2'
loop_
_atom_site_label
_atom_site_type_symbol
_atom_site_fract_x
_atom_site_fract_y
_atom_site_fract_z
Li1 Li 0.000 0.000 0.186
Li2 Li 0.000 0.500 0.000
Sn1 Sn 0.000 0.000 0.000
Bi1 Bi 0.000 0.000 0.389
```



Below is an optimized crystal structure of Li4SnBi3, with properties calculated at the GGA-PBE level.

Summary:
V: 23.24 A^3/atom
E_form: -0.351 eV per atom
raw total energy: -52.212 eV for the cell shown
density of states at the Fermi level: 2.6 states/eV/f.u.
total magnetic moment: 0.0 μB/cell

The structure in CIF format:
```
data_Li4SnBi3
_cell_length_a 10.363
_cell_length_b 6.846
_cell_length_c 5.242
_cell_angle_alpha 90.00
_cell_angle_beta 90.00
_cell_angle_gamma 90.00
_space_group_name_H-M_alt 'P m m a'
_space_group_IT_number 51
_space_group_name_Hall '-P 2a 2a'
loop_
_atom_site_label
_atom_site_type_symbol
_atom_site_fract_x
_atom_site_fract_y
_atom_site_fract_z
Li1 Li 0.000 0.241 0.000
Li2 Li 0.250 0.244 0.401
Sn1 Sn 0.000 0.000 0.500
Bi1 Bi 0.000 0.500 0.500
Bi2 Bi 0.250 0.000 0.912
Bi3 Bi 0.250 0.500 0.911
```



Below is an optimized crystal structure of Li2SnBi, with properties calculated at the GGA-PBE level.

Summary:
V: 22.15 A^3/atom
E_form: -0.332 eV per atom
raw total energy: -13.041 eV for the cell shown
density of states at the Fermi level: 1.7 states/eV/f.u.
total magnetic moment: 0.0 μB/cell

The structure in CIF format:
```
data_Li2SnBi
_cell_length_a 3.551
_cell_length_b 3.551
_cell_length_c 7.027
_cell_angle_alpha 90.00
_cell_angle_beta 90.00
_cell_angle_gamma 90.00
_space_group_name_H-M_alt 'P 4/m m m'
_space_group_IT_number 123
_space_group_name_Hall '-P 4 2'
loop_
_atom_site_label
_atom_site_type_symbol
_atom_site_fract_x
_atom_site_fract_y
_atom_site_fract_z
Li1 Li 0.000 0.000 0.234
Sn1 Sn 0.500 0.500 0.000
Bi1 Bi 0.500 0.500 0.500
```



Below is an optimized crystal structure of Li2SnBi2, with properties calculated at the GGA-PBE level.

Summary:
V: 28.73 A^3/atom
E_form: -0.187 eV per atom
raw total energy: -66.107 eV for the cell shown
ΔE to the lowest computed polymorph: 67.0 meV per atom
density of states at the Fermi level: 0.7 states/eV/f.u.
total magnetic moment: 0.0 μB/cell

The structure in CIF format:
```
data_Li2SnBi2
_cell_length_a 11.009
_cell_length_b 7.575
_cell_length_c 6.909
_cell_angle_alpha 90.00
_cell_angle_beta 94.33
_cell_angle_gamma 90.00
_space_group_name_H-M_alt 'P 1 21/c 1'
_space_group_IT_number 14
_space_group_name_Hall '-P 2ybc'
loop_
_atom_site_label
_atom_site_type_symbol
_atom_site_fract_x
_atom_site_fract_y
_atom_site_fract_z
Li1 Li 0.034 0.187 0.016
Li2 Li 0.241 0.742 0.478
Sn1 Sn 0.362 0.099 0.854
Bi1 Bi 0.113 0.508 0.188
Bi2 Bi 0.397 0.010 0.293
```



Below is an optimized crystal structure of Li5SnBi4, with properties calculated at the GGA-PBE level.

Summary:
V: 23.25 A^3/atom
E_form: -0.369 eV per atom
raw total energy: -32.790 eV for the cell shown
density of states at the Fermi level: 2.9 states/eV/f.u.
total magnetic moment: 0.0 μB/cell

The structure in CIF format:
```
data_Li5SnBi4
_cell_length_a 3.400
_cell_length_b 3.400
_cell_length_c 20.109
_cell_angle_alpha 90.00
_cell_angle_beta 90.00
_cell_angle_gamma 90.00
_space_group_name_H-M_alt 'P 4/m m m'
_space_group_IT_number 123
_space_group_name_Hall '-P 4 2'
loop_
_atom_site_label
_atom_site_type_symbol
_atom_site_fract_x
_atom_site_fract_y
_atom_site_fract_z
Li1 Li 0.000 0.000 0.000
Li2 Li 0.000 0.000 0.206
Li3 Li 0.000 0.000 0.409
Sn1 Sn 0.500 0.500 0.500
Bi1 Bi 0.500 0.500 0.104
Bi2 Bi 0.500 0.500 0.310
```



Below is an optimized crystal structure of Li2SnBi, with properties calculated at the GGA-PBE level.

Summary:
V: 22.58 A^3/atom
E_form: -0.351 eV per atom
raw total energy: -13.117 eV for the cell shown
density of states at the Fermi level: 1.1 states/eV/f.u.
total magnetic moment: 0.0 μB/cell

The structure in CIF format:
```
data_Li2SnBi
_cell_length_a 4.644
_cell_length_b 4.644
_cell_length_c 4.188
_cell_angle_alpha 90.00
_cell_angle_beta 90.00
_cell_angle_gamma 90.00
_space_group_name_H-M_alt 'P 4/m m m'
_space_group_IT_number 123
_space_group_name_Hall '-P 4 2'
loop_
_atom_site_label
_atom_site_type_symbol
_atom_site_fract_x
_atom_site_fract_y
_atom_site_fract_z
Li1 Li 0.000 0.500 0.000
Sn1 Sn 0.000 0.000 0.500
Bi1 Bi 0.500 0.500 0.500
```